TbNd7Ho2 | PBE-GGA | relaxed

a = 9.3550 Å, b = 9.3550 Å, c = 5.6779 Å
α = 90.00°, β = 90.00°, γ = 123.25°
Atoms (fractional coordinates):
Tb  0.0000  0.0000  0.0000
Nd  0.0656  0.2928  0.5000
Nd  0.2206  0.7794  0.0000
Nd  0.2928  0.0656  0.5000
Nd  0.5000  0.5000  0.5000
Nd  0.7072  0.9344  0.5000
Nd  0.7794  0.2206  0.0000
Nd  0.9344  0.7072  0.5000
Ho  0.2951  0.7049  0.5000
Ho  0.7049  0.2951  0.5000

Summary:
space group	No. 65
total moment	0.00	μB per formula unit
crystal system	orthorhombic
DFT formation energy	0.640	eV/atom